Entry from OQMD via LeMat-Bulk: MgZnCo after structural relaxation (PBE).

Lattice parameters (Å, degrees): 6.1571 3.8800 7.5014 90.00 90.00 90.00
Space group Pnma (No. 62)
One atom of each set of equivalent atoms:
Mg  0.0263  0.2500  0.1764
Zn  0.1543  0.2500  0.5522
Co  0.2297  0.7500  0.3592

Computed properties:
VASP energy: -9.637 eV/f.u.

Entry from OQMD via LeMat-Bulk: LaNbPO after structural relaxation (PBE).

Lattice parameters (Å, degrees): 4.6075 6.1836 5.9311 90.00 90.00 90.00
Space group Pmc2_1 (No. 26)
One atom of each set of equivalent atoms:
La  0.0000  0.2331  0.0000
Nb  0.5000  0.3688  0.5712
P  0.0000  0.2581  0.5046
O  0.5000  0.3304  0.9155

Computed properties:
VASP energy: -31.491 eV/f.u.
E above lowest polymorph: 475.0 meV/atom

Q: Which value of VASP energy does entry 2 give?
A: -31.491 eV/f.u.

Q: Among the records above, which one has the lowest VASP energy?
A: LaNbPO

Q: Which formula does entry 2 have?
A: LaNbPO